# 1
DFT (meta-GGA SCAN) results for a crystal of NiPtW relaxed with PBEsol.

Summary:
The total moment comes out at 0.000 μB per atom. As for the density of states at the Fermi level: 0.961 states/eV/atom. The formation energy is -156 meV per atom.

Unit cell a=2.7108 b=2.7108 c=11.0918 alpha=90.00 beta=90.00 gamma=90.00
Space group I4mm (No. 107)
Unique sites:
Ni 0.0000 0.0000 0.0000 [2 per cell]
Pt 0.0000 0.0000 0.6670 [2 per cell]
W 0.0000 0.0000 0.3453 [2 per cell]

---

# 2
DFT (meta-GGA SCAN) results for a crystal of Mg2SiP relaxed with PBEsol.

Summary:
The total moment comes out at 0.000 μB per atom. The value obtained for the raw formation energy is 0.09 eV per atom. As for the density of states at the Fermi level: 0.477 states/eV/atom.

Unit cell a=2.8484 b=4.4493 c=5.6540 alpha=90.00 beta=90.00 gamma=90.00
Space group Pmm2 (No. 25)
Unique sites:
Mg 0.0000 0.0000 0.0000 [1 per cell]
Mg 0.5000 0.5000 0.3812 [1 per cell]
Si 0.5000 0.5000 0.8782 [1 per cell]
P 0.0000 0.0000 0.4846 [1 per cell]

---

# 3
DFT (meta-GGA SCAN) results for a crystal of SrLaCo2 relaxed with PBEsol.

Summary:
The total moment comes out at 0.668 μB per atom. As for the density of states at the Fermi level: 1.049 states/eV/atom. The formation energy is 313 meV per atom.

Unit cell a=3.3392 b=3.3392 c=8.2397 alpha=90.00 beta=90.00 gamma=90.00
Space group P4mm (No. 99)
Unique sites:
Sr 0.0000 0.0000 0.0000 [1 per cell]
La 0.5000 0.5000 0.5690 [1 per cell]
Co 0.0000 0.0000 0.3446 [1 per cell]
Co 0.5000 0.5000 0.2696 [1 per cell]

---

# 4
DFT (meta-GGA SCAN) results for a crystal of Mn2CuP relaxed with PBEsol.

Summary:
The total moment comes out at 0.748 μB per atom. As for the density of states at the Fermi level: 0.611 states/eV/atom. The formation energy is -73 meV per atom.

Unit cell a=2.7746 b=2.7746 c=6.0071 alpha=90.00 beta=90.00 gamma=90.00
Space group P4mm (No. 99)
Unique sites:
Mn 0.0000 0.0000 0.0000 [1 per cell]
Mn 0.5000 0.5000 0.2672 [1 per cell]
Cu 0.5000 0.5000 0.7186 [1 per cell]
P 0.0000 0.0000 0.4581 [1 per cell]

---

# 5
DFT (meta-GGA SCAN) results for a crystal of TaTiC2 relaxed with PBEsol.

Summary:
The total moment comes out at 0.000 μB per atom. As for the density of states at the Fermi level: 1.011 states/eV/atom. The formation energy is 426 meV per atom.

Unit cell a=5.4577 b=5.4577 c=5.4577 alpha=90.00 beta=90.00 gamma=90.00
Space group Fm-3m (No. 225)
Unique sites:
Ta 0.0000 0.0000 0.0000 [4 per cell]
Ti 0.0000 0.0000 0.5000 [4 per cell]
C 0.2500 0.2500 0.2500 [8 per cell]

---

# 6
DFT (meta-GGA SCAN) results for a crystal of InSbCl relaxed with PBEsol.

Summary:
The total moment comes out at 0.000 μB per atom. The value obtained for the raw formation energy is 0.40 eV per atom. As for the density of states at the Fermi level: 0.911 states/eV/atom.

Unit cell a=6.9475 b=6.9475 c=6.9475 alpha=90.00 beta=90.00 gamma=90.00
Space group F-43m (No. 216)
Unique sites:
In 0.0000 0.0000 0.0000 [4 per cell]
Sb 0.0000 0.0000 0.5000 [4 per cell]
Cl 0.2500 0.2500 0.7500 [4 per cell]

---

# 7
DFT (meta-GGA SCAN) results for a crystal of YZr3 relaxed with PBEsol.

Summary:
The total moment comes out at 0.000 μB per atom. As for the density of states at the Fermi level: 0.916 states/eV/atom. The formation energy is 71 meV per atom.

Unit cell a=5.1666 b=6.5369 c=5.6837 alpha=90.00 beta=90.00 gamma=90.00
Space group Pmmn (No. 59, origin choice 2)
Unique sites:
Y 0.2500 0.2500 0.1573 [2 per cell]
Zr 0.2500 0.0049 0.6600 [4 per cell]
Zr 0.2500 0.7500 0.1881 [2 per cell]

---

# 8
DFT (meta-GGA SCAN) results for a crystal of Cu2As relaxed with PBEsol.

Summary:
The total moment comes out at 0.000 μB per atom. As for the density of states at the Fermi level: 0.284 states/eV/atom. The formation energy is 68 meV per atom.

Unit cell a=3.6872 b=3.6872 c=23.5101 alpha=90.00 beta=90.00 gamma=90.00
Space group I4_1/amd (No. 141, origin choice 2)
Unique sites:
Cu 0.0000 0.2500 0.1228 [8 per cell]
Cu 0.0000 0.2500 0.2929 [8 per cell]
As 0.0000 0.2500 0.8003 [8 per cell]

---

# 9
DFT (meta-GGA SCAN) results for a crystal of CrCo2Mo relaxed with PBEsol.

Summary:
The total moment comes out at 0.036 μB per atom. As for the density of states at the Fermi level: 0.610 states/eV/atom. The formation energy is 201 meV per atom.

Unit cell a=2.5360 b=3.5696 c=5.0662 alpha=90.00 beta=90.00 gamma=90.00
Space group Pmmm (No. 47)
Unique sites:
Cr 0.0000 0.0000 0.0000 [1 per cell]
Co 0.5000 0.5000 0.2366 [2 per cell]
Mo 0.0000 0.0000 0.5000 [1 per cell]

---

# 10
DFT (meta-GGA SCAN) results for a crystal of MgZrSc2 relaxed with PBEsol.

Summary:
The total moment comes out at 0.010 μB per atom. As for the density of states at the Fermi level: 1.138 states/eV/atom. The formation energy is 55 meV per atom.

Unit cell a=3.4317 b=4.9866 c=10.5229 alpha=90.00 beta=90.00 gamma=90.00
Space group Imm2 (No. 44)
Unique sites:
Mg 0.0000 0.0000 0.0000 [2 per cell]
Zr 0.0000 0.5000 0.2682 [2 per cell]
Sc 0.0000 0.0000 0.5010 [2 per cell]
Sc 0.0000 0.5000 0.7285 [2 per cell]

---

# 11
DFT (meta-GGA SCAN) results for a crystal of SrTcRu2 relaxed with PBEsol.

Summary:
The total moment comes out at 0.000 μB per atom. As for the density of states at the Fermi level: 1.199 states/eV/atom. The formation energy is 616 meV per atom.

Unit cell a=9.2659 b=2.9550 c=5.5876 alpha=90.00 beta=102.91 gamma=90.00
Space group Cm (No. 8)
Unique sites:
Sr 0.0000 0.0000 0.0000 [2 per cell]
Tc 0.2146 0.0000 0.6461 [2 per cell]
Ru 0.2753 0.5000 0.3273 [2 per cell]
Ru 0.4988 0.0000 0.4991 [2 per cell]

---

# 12
DFT (meta-GGA SCAN) results for a crystal of Ba2AlHg relaxed with PBEsol.

Summary:
The total moment comes out at 0.001 μB per atom. As for the density of states at the Fermi level: 0.625 states/eV/atom. The formation energy is -347 meV per atom.

Unit cell a=4.0768 b=4.0768 c=8.1857 alpha=90.00 beta=90.00 gamma=90.00
Space group P4/mmm (No. 123)
Unique sites:
Ba 0.0000 0.0000 0.2474 [2 per cell]
Al 0.5000 0.5000 0.0000 [1 per cell]
Hg 0.5000 0.5000 0.5000 [1 per cell]